Density functional theory data (PBE) for a relaxed NdDyTm2 crystal.

Structure (CIF):
```
data_NdDyTm2
_cell_length_a 3.5537
_cell_length_b 3.5537
_cell_length_c 34.5508
_cell_angle_alpha 90.00
_cell_angle_beta 90.00
_cell_angle_gamma 120.00
_space_group_name_H-M_alt 'R -3 m'
_space_group_IT_number 166
_space_group_name_Hall '-R 3 2"'
loop_
_atom_site_label
_atom_site_fract_x
_atom_site_fract_y
_atom_site_fract_z
Nd1 0.0000 0.0000 0.0000
Dy1 0.0000 0.0000 0.5000
Tm1 0.0000 0.0000 0.2488
```

Calculated values
Total energy ... -4.555 eV/atom
Density of states at the Fermi level ... 5.2 states/eV/f.u.
Distance to the lowest polymorph of the same formula ... 13.1 meV per atom
Formation energy from the elements ... 0.023 eV per atom